PBE Tl5Cd2Hg5, optimized geometry; mass density = 10.908 g/cm3; energy above the lowest structure with this stoichiometry = 2 meV/atom; SG = No. 12; energy relative to the elements = 0.02 eV/atom
1.0
5.475 -2.617 0.000
5.475 2.617 0.000
-4.813 0.000 11.952
Tl Cd Hg
5 2 5
Direct
0.000 0.000 0.000
0.341 0.341 0.494
0.380 0.380 0.226
0.620 0.620 0.774
0.659 0.659 0.506
0.278 0.278 0.725
0.722 0.722 0.275
0.000 0.000 0.500
0.066 0.066 0.266
0.311 0.311 0.965
0.689 0.689 0.035
0.934 0.934 0.734

PBE Tc2HgPbO8, optimized geometry; mass density = 4.362 g/cm3; formation energy from raw total energies = -1.23 eV per atom; SG = No. 12
1.0
5.662 -3.253 0.000
5.662 3.253 0.000
-2.514 0.000 7.562
Tc Hg Pb O
2 1 1 8
Direct
0.198 0.198 0.127
0.802 0.802 0.873
0.000 0.000 0.500
0.500 0.500 0.000
0.085 0.641 0.806
0.152 0.152 0.899
0.359 0.915 0.194
0.362 0.362 0.202
0.638 0.638 0.798
0.641 0.085 0.806
0.848 0.848 0.101
0.915 0.359 0.194

PBE Pr5Nd8Er, optimized geometry; mass density = 6.677 g/cm3; SG = No. 82; energy relative to the elements = 0.23 eV/atom
1.0
-4.948 4.948 5.144
4.948 -4.948 5.144
4.948 4.948 -5.144
Pr Nd Er
5 8 1
Direct
0.000 0.000 0.000
0.315 0.631 0.104
0.369 0.472 0.684
0.528 0.212 0.896
0.788 0.685 0.316
0.024 0.421 0.260
0.063 0.164 0.733
0.161 0.764 0.740
0.236 0.976 0.398
0.431 0.330 0.267
0.579 0.839 0.602
0.670 0.937 0.101
0.836 0.569 0.899
0.750 0.250 0.500

PBE Au2ClF, optimized geometry; mass density = 9.835 g/cm3; formation energy from raw total energies = -0.11 eV per atom; energy above the lowest structure with this stoichiometry = 0 meV/atom; SG = No. 122
1.0
-2.169 2.169 8.048
2.169 -2.169 8.048
2.169 2.169 -8.048
Au Cl F
4 2 2
Direct
0.106 0.625 0.981
0.375 0.356 0.481
0.644 0.125 0.019
0.875 0.894 0.519
0.250 0.750 0.500
0.500 0.500 0.000
0.000 0.000 0.000
0.750 0.250 0.500

PBE InSnHgPb2, optimized geometry; mass density = 8.385 g/cm3; SG = No. 107; energy relative to the elements = 0.12 eV/atom
1.0
-2.370 2.370 7.483
2.370 -2.370 7.483
2.370 2.370 -7.483
In Sn Hg Pb
1 1 1 2
Direct
0.000 0.000 0.000
0.457 0.457 0.000
0.652 0.652 0.000
0.308 0.808 0.500
0.808 0.308 0.500

PBE Tm3Co2Si3, optimized geometry; mass density = 8.411 g/cm3; formation energy from raw total energies = -0.78 eV per atom; energy above the lowest structure with this stoichiometry = 0 meV/atom; SG = No. 63
1.0
2.035 -5.122 0.000
2.035 5.122 0.000
0.000 0.000 13.427
Tm Co Si
6 4 6
Direct
0.081 0.919 0.612
0.081 0.919 0.888
0.362 0.638 0.750
0.638 0.362 0.250
0.919 0.081 0.112
0.919 0.081 0.388
0.213 0.787 0.083
0.213 0.787 0.417
0.787 0.213 0.583
0.787 0.213 0.917
0.332 0.668 0.250
0.381 0.619 0.540
0.381 0.619 0.960
0.619 0.381 0.040
0.619 0.381 0.460
0.668 0.332 0.750

PBE Sr2Ag2Pd, optimized geometry; mass density = 5.556 g/cm3; energy above the lowest structure with this stoichiometry = 216 meV/atom; SG = No. 139; energy relative to the elements = -0.17 eV/atom
1.0
-3.037 3.037 4.028
3.037 -3.037 4.028
3.037 3.037 -4.028
Sr Ag Pd
2 2 1
Direct
0.250 0.750 0.500
0.750 0.250 0.500
0.164 0.164 0.000
0.836 0.836 0.000
0.500 0.500 0.000

PBE KSi2O4, optimized geometry; mass density = 2.356 g/cm3; formation energy from raw total energies = -2.21 eV per atom; energy above the lowest structure with this stoichiometry = 0 meV/atom; SG = No. 194
1.0
5.555 0.000 0.000
-2.777 4.811 0.000
0.000 0.000 8.402
K Si O
2 4 8
Direct
0.000 0.000 0.250
0.000 0.000 0.750
0.333 0.667 0.052
0.333 0.667 0.448
0.667 0.333 0.552
0.667 0.333 0.948
0.000 0.500 0.000
0.000 0.500 0.500
0.333 0.667 0.250
0.500 0.000 0.000
0.500 0.000 0.500
0.500 0.500 0.000
0.500 0.500 0.500
0.667 0.333 0.750

Among the records above, which one has the highest mass density? Tl5Cd2Hg5

What is the mass density in the eighth record? 2.356 g/cm3

The lowest mass density belongs to which entry? KSi2O4